Record 1
# BeRu2Pb (PBE-GGA, relaxed)
# Energy of formation in eV per atom: 0.41
# Calculated density in g/cm3: 10.386
# ΔE to the lowest computed polymorph in meV/atom: 115
# Space-group type: Cm (8)
data_BeRu2Pb
_chemical_formula_sum 'Be1 Ru2 Pb1'
_cell_length_a 4.4246
_cell_length_b 4.4246
_cell_length_c 5.4200
_cell_angle_alpha 83.09
_cell_angle_beta 83.09
_cell_angle_gamma 39.46
_space_group_name_H-M_alt 'P 1'
_space_group_IT_number 1
_space_group_name_Hall 'P 1'
loop_
_atom_site_label
_atom_site_type_symbol
_atom_site_fract_x
_atom_site_fract_y
_atom_site_fract_z
Ru1 Ru 0.0168 0.0168 0.9213
Ru2 Ru 0.7503 0.7503 0.7116
Pb1 Pb 0.2599 0.2599 0.2492
Be1 Be 0.4730 0.4730 0.6180

Record 2
# Rb2NaSI6 (PBE-GGA, relaxed)
# DFT total energy in eV per atom: -2.332
# Calculated density in g/cm3: 3.773
# Space-group type: I4/mmm (139)
data_Rb2NaSI6
_chemical_formula_sum 'Rb2 Na1 S1 I6'
_cell_length_a 8.3096
_cell_length_b 8.3096
_cell_length_c 8.6098
_cell_angle_alpha 61.15
_cell_angle_beta 61.15
_cell_angle_gamma 90.00
_space_group_name_H-M_alt 'P 1'
_space_group_IT_number 1
_space_group_name_Hall 'P 1'
loop_
_atom_site_label
_atom_site_type_symbol
_atom_site_fract_x
_atom_site_fract_y
_atom_site_fract_z
I1 I 0.7701 0.7701 0.0000
I2 I 0.7701 0.2299 0.0000
I3 I 0.2583 0.2583 0.4834
I4 I 0.2299 0.7701 0.0000
I5 I 0.7417 0.7417 0.5166
I6 I 0.2299 0.2299 0.0000
Rb1 Rb 0.7500 0.2500 0.5000
Rb2 Rb 0.2500 0.7500 0.5000
S1 S 0.0000 0.0000 0.0000
Na1 Na 0.5000 0.5000 0.0000

Record 3
# Mg2TcHg (PBE-GGA, relaxed)
# Energy of formation in eV per atom: 0.20
# Calculated density in g/cm3: 7.590
# Space-group type: R-3m (166)
data_Mg2TcHg
_chemical_formula_sum 'Mg2 Tc1 Hg1'
_cell_length_a 9.8060
_cell_length_b 9.8060
_cell_length_c 9.8060
_cell_angle_alpha 17.69
_cell_angle_beta 17.69
_cell_angle_gamma 17.69
_space_group_name_H-M_alt 'P 1'
_space_group_IT_number 1
_space_group_name_Hall 'P 1'
loop_
_atom_site_label
_atom_site_type_symbol
_atom_site_fract_x
_atom_site_fract_y
_atom_site_fract_z
Tc1 Tc 0.2500 0.2500 0.2500
Mg1 Mg 0.9919 0.9919 0.9919
Mg2 Mg 0.5081 0.5081 0.5081
Hg1 Hg 0.7500 0.7500 0.7500

Record 4
# LaBiBr2 (PBE-GGA, relaxed)
# Calculated density in g/cm3: 6.148
# ΔE to the lowest computed polymorph in meV/atom: 0
# Space-group type: R-3m (166)
data_LaBiBr2
_chemical_formula_sum 'La1 Bi1 Br2'
_cell_length_a 11.2416
_cell_length_b 11.2416
_cell_length_c 11.2416
_cell_angle_alpha 19.41
_cell_angle_beta 19.41
_cell_angle_gamma 19.41
_space_group_name_H-M_alt 'P 1'
_space_group_IT_number 1
_space_group_name_Hall 'P 1'
loop_
_atom_site_label
_atom_site_type_symbol
_atom_site_fract_x
_atom_site_fract_y
_atom_site_fract_z
Br1 Br 0.8965 0.8965 0.8965
Br2 Br 0.1035 0.1035 0.1035
La1 La 0.5000 0.5000 0.5000
Bi1 Bi 0.0000 0.0000 0.0000

| no. | spin magnetization (μB/f.u.) |
| --- | --- |
| 1 | 0.000 |
| 2 | 1.000 |
| 3 | 0.803 |
| 4 | 0.000 |